No. 1
Here is a relaxed Rb3DySc2Se6 crystal from Alexandria. Energies are from PBE-GGA.

Unit cell a=7.1211 b=7.1211 c=8.2930 alpha=98.24 beta=98.24 gamma=120.00
Closest atoms and distances in Å follow each position.
Element x y z (fractional)
Rb1 0.1641 0.8359 0.5000  6 Se 3.38-3.45
Rb2 0.8359 0.1641 0.5000  6 Se 3.38-3.45
Rb3 0.5000 0.5000 0.5000  6 Se 3.37-3.45
Dy1 0.0000 0.0000 0.0000  6 Se 2.88
Sc1 0.3331 0.6669 0.0000  6 Se 2.77-2.78
Sc2 0.6669 0.3331 0.0000  6 Se 2.77-2.78
Se1 0.9368 0.5917 0.8105  2 Sc 2.77-2.78, 1 Dy 2.88
Se2 0.7178 0.7178 0.1886  2 Sc 2.77, 1 Dy 2.88
Se3 0.0632 0.4083 0.1895  2 Sc 2.77-2.78, 1 Dy 2.88
Se4 0.5917 0.9368 0.8105  2 Sc 2.77-2.78, 1 Dy 2.88
Se5 0.2822 0.2822 0.8114  2 Sc 2.77, 1 Dy 2.88
Se6 0.4083 0.0632 0.1895  2 Sc 2.77-2.78, 1 Dy 2.88

Output
Spin magnetization in μB per formula unit: 0.0
N(E_F) in states/eV per atom: 0.0000


No. 2
Here is a relaxed InAgHgRh crystal from Alexandria. Energies are from PBE-GGA.

Unit cell a=4.7029 b=4.7029 c=4.7029 alpha=60.00 beta=60.00 gamma=60.00
Closest atoms and distances in Å follow each position.
Element x y z (fractional)
Rh1 0.5000 0.5000 0.5000  4 Hg 2.88, 4 In 2.88
Hg1 0.7500 0.7500 0.7500  4 Rh 2.88, 4 Ag 2.88
Ag1 0.0000 0.0000 0.0000  4 Hg 2.88, 4 In 2.88
In1 0.2500 0.2500 0.2500  4 Rh 2.88, 4 Ag 2.88

Output
Spin magnetization in μB per formula unit: 0.0
E_form in eV per atom: -0.01
N(E_F) in states/eV per atom: 0.4420


Number 1: total DFT energy (no corrections) -60.7 eV for the cell shown. Number 2: total DFT energy (no corrections) -13.3 eV for the cell shown.